# 1
# AgPtO3

Crystalline AgPtO3 at its relaxed geometry (PBE, OQMD via LeMat-Bulk).

Structure (CIF):
```
data_AgPtO3
_chemical_formula_sum 'Ag2 Pt2 O6'
_space_group_name_H-M_alt 'P 1'
_space_group_IT_number 1
_space_group_name_Hall 'P 1'
_cell_length_a 5.4084
_cell_length_b 5.4084
_cell_length_c 5.4084
_cell_angle_alpha 61.66
_cell_angle_beta 61.66
_cell_angle_gamma 61.66
loop_
_atom_site_label
_atom_site_type_symbol
_atom_site_fract_x
_atom_site_fract_y
_atom_site_fract_z
_atom_site_occupancy
Ag1 Ag 0.2500 0.2500 0.2500 1
Ag2 Ag 0.7500 0.7500 0.7500 1
O1 O 0.7500 0.3586 0.1414 1
O2 O 0.6414 0.8586 0.2500 1
O3 O 0.1414 0.7500 0.3586 1
O4 O 0.8586 0.2500 0.6414 1
O5 O 0.3586 0.1414 0.7500 1
O6 O 0.2500 0.6414 0.8586 1
Pt1 Pt 0.0000 0.0000 0.0000 1
Pt2 Pt 0.5000 0.5000 0.5000 1
```

Properties
As for the electronic total energy: -48.54 eV per cell.


# 2
# AgPt3O6

Crystalline AgPt3O6 at its relaxed geometry (PBE, OQMD via LeMat-Bulk).

Structure (CIF):
```
data_AgPt3O6
_chemical_formula_sum 'Ag1 Pt3 O6'
_space_group_name_H-M_alt 'P 1'
_space_group_IT_number 1
_space_group_name_Hall 'P 1'
_cell_length_a 6.3097
_cell_length_b 6.3097
_cell_length_c 3.1488
_cell_angle_alpha 90.00
_cell_angle_beta 90.00
_cell_angle_gamma 109.66
loop_
_atom_site_label
_atom_site_type_symbol
_atom_site_fract_x
_atom_site_fract_y
_atom_site_fract_z
_atom_site_occupancy
Ag1 Ag 0.0000 0.0000 0.0000 1
O1 O 0.4244 0.1668 0.0000 1
O2 O 0.1668 0.4244 0.0000 1
O3 O 0.8332 0.5756 0.0000 1
O4 O 0.5756 0.8332 0.0000 1
O5 O 0.8372 0.1628 0.5000 1
O6 O 0.1628 0.8372 0.5000 1
Pt1 Pt 0.5000 0.5000 0.0000 1
Pt2 Pt 0.5000 0.0000 0.5000 1
Pt3 Pt 0.0000 0.5000 0.5000 1
```

Properties
As for the electronic total energy: -55.02 eV per cell.


# 3
# AgPtSO

Crystalline AgPtSO at its relaxed geometry (PBE, OQMD via LeMat-Bulk).

Structure (CIF):
```
data_AgPtSO
_chemical_formula_sum 'Ag8 Pt8 S8 O8'
_space_group_name_H-M_alt 'P 1'
_space_group_IT_number 1
_space_group_name_Hall 'P 1'
_cell_length_a 6.8340
_cell_length_b 9.4820
_cell_length_c 7.7959
_cell_angle_alpha 90.00
_cell_angle_beta 90.00
_cell_angle_gamma 90.00
loop_
_atom_site_label
_atom_site_type_symbol
_atom_site_fract_x
_atom_site_fract_y
_atom_site_fract_z
_atom_site_occupancy
Ag1 Ag 0.2497 0.4685 0.0116 1
Ag2 Ag 0.2503 0.9685 0.0116 1
Ag3 Ag 0.7497 0.4685 0.4884 1
Ag4 Ag 0.7503 0.9685 0.4884 1
Ag5 Ag 0.2497 0.0315 0.5116 1
Ag6 Ag 0.2503 0.5315 0.5116 1
Ag7 Ag 0.7497 0.0315 0.9884 1
Ag8 Ag 0.7503 0.5315 0.9884 1
O1 O 0.7515 0.2873 0.1166 1
O2 O 0.7485 0.7873 0.1166 1
O3 O 0.2515 0.2873 0.3834 1
O4 O 0.2485 0.7873 0.3834 1
O5 O 0.7515 0.2127 0.6166 1
O6 O 0.7485 0.7127 0.6166 1
O7 O 0.2515 0.2127 0.8834 1
O8 O 0.2485 0.7127 0.8834 1
Pt1 Pt 0.0016 0.2863 0.2499 1
Pt2 Pt 0.4984 0.7863 0.2499 1
Pt3 Pt 0.5016 0.2863 0.2501 1
Pt4 Pt 0.9984 0.7863 0.2501 1
Pt5 Pt 0.0016 0.2137 0.7499 1
Pt6 Pt 0.4984 0.7137 0.7499 1
Pt7 Pt 0.5016 0.2137 0.7501 1
Pt8 Pt 0.9984 0.7137 0.7501 1
S1 S 0.5038 0.0388 0.2498 1
S2 S 0.9962 0.5388 0.2498 1
S3 S 0.0038 0.0388 0.2502 1
S4 S 0.4962 0.5388 0.2502 1
S5 S 0.5038 0.4612 0.7498 1
S6 S 0.9962 0.9612 0.7498 1
S7 S 0.0038 0.4612 0.7502 1
S8 S 0.4962 0.9612 0.7502 1
```

Properties
As for the electronic total energy: -144.56 eV per cell.


# 4
# AgPtSO

Crystalline AgPtSO at its relaxed geometry (PBE, OQMD via LeMat-Bulk).

Structure (CIF):
```
data_AgPtSO
_chemical_formula_sum 'Ag2 Pt2 S2 O2'
_space_group_name_H-M_alt 'P 1'
_space_group_IT_number 1
_space_group_name_Hall 'P 1'
_cell_length_a 4.5370
_cell_length_b 4.5370
_cell_length_c 6.8721
_cell_angle_alpha 90.00
_cell_angle_beta 90.00
_cell_angle_gamma 90.00
loop_
_atom_site_label
_atom_site_type_symbol
_atom_site_fract_x
_atom_site_fract_y
_atom_site_fract_z
_atom_site_occupancy
Ag1 Ag 0.2500 0.2500 0.2041 1
Ag2 Ag 0.7500 0.7500 0.7959 1
O1 O 0.7500 0.7500 0.0984 1
O2 O 0.2500 0.2500 0.9016 1
Pt1 Pt 0.7500 0.7500 0.3822 1
Pt2 Pt 0.2500 0.2500 0.6178 1
S1 S 0.7500 0.2500 0.5000 1
S2 S 0.2500 0.7500 0.5000 1
```

Properties
As for the electronic total energy: -34.06 eV per cell.


# 5
# AgPtSO

Crystalline AgPtSO at its relaxed geometry (PBE, OQMD via LeMat-Bulk).

Structure (CIF):
```
data_AgPtSO
_chemical_formula_sum 'Ag4 Pt4 S4 O4'
_space_group_name_H-M_alt 'P 1'
_space_group_IT_number 1
_space_group_name_Hall 'P 1'
_cell_length_a 7.0089
_cell_length_b 6.0918
_cell_length_c 7.6650
_cell_angle_alpha 90.00
_cell_angle_beta 90.00
_cell_angle_gamma 90.00
loop_
_atom_site_label
_atom_site_type_symbol
_atom_site_fract_x
_atom_site_fract_y
_atom_site_fract_z
_atom_site_occupancy
Ag1 Ag 0.2823 0.7472 0.0151 1
Ag2 Ag 0.7177 0.2472 0.4849 1
Ag3 Ag 0.2177 0.2528 0.5151 1
Ag4 Ag 0.7823 0.7528 0.9849 1
O1 O 0.5353 0.9400 0.0788 1
O2 O 0.4647 0.4400 0.4212 1
O3 O 0.9647 0.0600 0.5788 1
O4 O 0.0353 0.5600 0.9212 1
Pt1 Pt 0.0220 0.3119 0.0790 1
Pt2 Pt 0.9780 0.8119 0.4210 1
Pt3 Pt 0.4780 0.6881 0.5790 1
Pt4 Pt 0.5220 0.1881 0.9210 1
S1 S 0.0229 0.9573 0.1511 1
S2 S 0.9771 0.4573 0.3489 1
S3 S 0.4771 0.0427 0.6511 1
S4 S 0.5229 0.5427 0.8489 1
```

Properties
As for the electronic total energy: -71.81 eV per cell.


# 6
# AgPtSO

Crystalline AgPtSO at its relaxed geometry (PBE, OQMD via LeMat-Bulk).

Structure (CIF):
```
data_AgPtSO
_chemical_formula_sum 'Ag8 Pt8 S8 O8'
_space_group_name_H-M_alt 'P 1'
_space_group_IT_number 1
_space_group_name_Hall 'P 1'
_cell_length_a 6.9978
_cell_length_b 12.4494
_cell_length_c 5.9634
_cell_angle_alpha 90.00
_cell_angle_beta 90.00
_cell_angle_gamma 90.00
loop_
_atom_site_label
_atom_site_type_symbol
_atom_site_fract_x
_atom_site_fract_y
_atom_site_fract_z
_atom_site_occupancy
Ag1 Ag 0.9518 0.1974 0.1449 1
Ag2 Ag 0.5482 0.6974 0.1449 1
Ag3 Ag 0.4518 0.1974 0.3551 1
Ag4 Ag 0.0482 0.6974 0.3551 1
Ag5 Ag 0.9518 0.3026 0.6449 1
Ag6 Ag 0.5482 0.8026 0.6449 1
Ag7 Ag 0.4518 0.3026 0.8551 1
Ag8 Ag 0.0482 0.8026 0.8551 1
O1 O 0.6781 0.2959 0.1664 1
O2 O 0.8219 0.7959 0.1664 1
O3 O 0.1781 0.2959 0.3336 1
O4 O 0.3219 0.7959 0.3336 1
O5 O 0.6781 0.2041 0.6664 1
O6 O 0.8219 0.7041 0.6664 1
O7 O 0.1781 0.2041 0.8336 1
O8 O 0.3219 0.7041 0.8336 1
Pt1 Pt 0.1722 0.4071 0.0884 1
Pt2 Pt 0.3278 0.9071 0.0884 1
Pt3 Pt 0.6722 0.4071 0.4116 1
Pt4 Pt 0.8278 0.9071 0.4116 1
Pt5 Pt 0.1722 0.0929 0.5884 1
Pt6 Pt 0.3278 0.5929 0.5884 1
Pt7 Pt 0.6722 0.0929 0.9116 1
Pt8 Pt 0.8278 0.5929 0.9116 1
S1 S 0.5913 0.0090 0.2385 1
S2 S 0.9087 0.5090 0.2385 1
S3 S 0.0913 0.0090 0.2615 1
S4 S 0.4087 0.5090 0.2615 1
S5 S 0.5913 0.4910 0.7385 1
S6 S 0.9087 0.9910 0.7385 1
S7 S 0.0913 0.4910 0.7615 1
S8 S 0.4087 0.9910 0.7615 1
```

Properties
As for the electronic total energy: -145.36 eV per cell.


# 7
# AgPtSO

Crystalline AgPtSO at its relaxed geometry (PBE, OQMD via LeMat-Bulk).

Structure (CIF):
```
data_AgPtSO
_chemical_formula_sum 'Ag2 Pt2 S2 O2'
_space_group_name_H-M_alt 'P 1'
_space_group_IT_number 1
_space_group_name_Hall 'P 1'
_cell_length_a 4.3670
_cell_length_b 4.3670
_cell_length_c 6.9671
_cell_angle_alpha 90.00
_cell_angle_beta 90.00
_cell_angle_gamma 90.00
loop_
_atom_site_label
_atom_site_type_symbol
_atom_site_fract_x
_atom_site_fract_y
_atom_site_fract_z
_atom_site_occupancy
Ag1 Ag 0.7500 0.7500 0.2647 1
Ag2 Ag 0.2500 0.2500 0.7353 1
O1 O 0.2500 0.2500 0.4141 1
O2 O 0.7500 0.7500 0.5859 1
Pt1 Pt 0.7500 0.2500 0.0000 1
Pt2 Pt 0.2500 0.7500 0.0000 1
S1 S 0.2500 0.2500 0.1952 1
S2 S 0.7500 0.7500 0.8048 1
```

Properties
As for the electronic total energy: -36.25 eV per cell.


# 8
# AgPtSO

Crystalline AgPtSO at its relaxed geometry (PBE, OQMD via LeMat-Bulk).

Structure (CIF):
```
data_AgPtSO
_chemical_formula_sum 'Ag4 Pt4 S4 O4'
_space_group_name_H-M_alt 'P 1'
_space_group_IT_number 1
_space_group_name_Hall 'P 1'
_cell_length_a 5.3493
_cell_length_b 7.9925
_cell_length_c 5.9804
_cell_angle_alpha 90.00
_cell_angle_beta 90.00
_cell_angle_gamma 90.00
loop_
_atom_site_label
_atom_site_type_symbol
_atom_site_fract_x
_atom_site_fract_y
_atom_site_fract_z
_atom_site_occupancy
Ag1 Ag 0.2780 0.1971 0.0414 1
Ag2 Ag 0.7220 0.6971 0.4586 1
Ag3 Ag 0.2220 0.8029 0.5414 1
Ag4 Ag 0.7780 0.3029 0.9586 1
O1 O 0.6945 0.0660 0.1589 1
O2 O 0.3055 0.5660 0.3411 1
O3 O 0.8055 0.9340 0.6589 1
O4 O 0.1945 0.4340 0.8411 1
Pt1 Pt 0.7775 0.8399 0.0423 1
Pt2 Pt 0.2225 0.3399 0.4577 1
Pt3 Pt 0.7225 0.1601 0.5423 1
Pt4 Pt 0.2775 0.6601 0.9577 1
S1 S 0.1803 0.8990 0.1402 1
S2 S 0.8197 0.3990 0.3598 1
S3 S 0.3197 0.1010 0.6402 1
S4 S 0.6803 0.6010 0.8598 1
```

Properties
As for the electronic total energy: -71.89 eV per cell.


Among the records above, which one has the highest electronic total energy?
number 4